1.
A relaxed structure of YHg, computed with GGA-PBE.

Structure (POSCAR):
```
YHg
1.0
3.715 0.000 0.000
0.000 3.715 0.000
0.000 0.000 3.715
Hg Y
1 1
Direct
0.000 0.000 0.000
0.500 0.500 0.500
```

Computed properties:
DFT formation energy: -11.807 kcal/mol of atoms
calculated volume: 25.6 Å³/atom

=====

2.
A relaxed structure of ZrTlAgSe3, computed with GGA-PBE.

Structure (POSCAR):
```
ZrTlAgSe3
1.0
7.759 0.000 0.000
0.000 4.212 0.000
0.000 0.000 17.696
Se Zr Ag Tl
12 4 4 4
Direct
0.818 0.250 0.310
0.508 0.750 0.427
0.182 0.750 0.690
0.125 0.250 0.456
0.492 0.250 0.573
0.992 0.250 0.927
0.625 0.250 0.044
0.682 0.750 0.810
0.008 0.750 0.073
0.375 0.750 0.956
0.875 0.750 0.544
0.318 0.250 0.190
0.757 0.250 0.456
0.743 0.750 0.956
0.257 0.250 0.044
0.243 0.750 0.544
0.030 0.750 0.828
0.470 0.250 0.328
0.530 0.750 0.672
0.970 0.250 0.172
0.370 0.250 0.810
0.130 0.750 0.310
0.630 0.750 0.190
0.870 0.250 0.690
```

Computed properties:
calculated volume: 24.1 Å³/atom
DFT total energy: -4.75 eV/atom

=====

3.
A relaxed structure of Ga2Ni, computed with GGA-PBE.

Structure (POSCAR):
```
Ga2Ni
1.0
-0.045 -4.539 3.607
-1.742 -3.430 -4.337
2.921 -0.590 -0.707
Ga Ni
4 2
Direct
0.219 0.781 0.500
0.281 0.281 0.000
0.781 0.219 0.500
0.719 0.719 0.000
0.500 0.500 0.500
0.000 0.000 0.000
```

Computed properties:
calculated volume: 17.2 Å³/atom
DFT total energy: -4.01 eV/atom

=====

4.
A relaxed structure of Li4Cd2GePd, computed with GGA-PBE.

Structure (POSCAR):
```
Li4Cd2GePd
1.0
4.511 0.000 0.000
0.000 4.511 0.000
0.000 0.000 6.458
Li Pd Cd Ge
4 1 2 1
Direct
0.500 0.500 0.000
0.500 0.000 0.745
0.000 0.500 0.255
0.000 0.000 0.500
0.500 0.500 0.500
0.000 0.500 0.745
0.500 0.000 0.255
0.000 0.000 0.000
```

Computed properties:
calculated volume: 16.4 Å³/atom
DFT total energy: -2.75 eV/atom

=====

5.
A relaxed structure of RbCuReIr, computed with GGA-PBE.

Structure (POSCAR):
```
RbCuReIr
1.0
0.000 3.297 3.297
3.297 0.000 3.297
3.297 3.297 0.000
Cu Re Ir Rb
1 1 1 1
Direct
0.750 0.750 0.750
0.000 0.000 0.000
0.250 0.250 0.250
0.500 0.500 0.500
```

Computed properties:
calculated volume: 17.9 Å³/atom
DFT total energy: -4.84 eV/atom

=====

6.
A relaxed structure of FeTcSbIr, computed with GGA-PBE.

Structure (POSCAR):
```
FeTcSbIr
1.0
0.000 3.129 3.129
3.129 0.000 3.129
3.129 3.129 0.000
Fe Sb Ir Tc
1 1 1 1
Direct
0.750 0.750 0.750
0.000 0.000 0.000
0.500 0.500 0.500
0.250 0.250 0.250
```

Computed properties:
calculated volume: 15.3 Å³/atom
DFT total energy: -7.65 eV/atom

=====

7.
A relaxed structure of SrZnIr, computed with GGA-PBE.

Structure (POSCAR):
```
SrZnIr
1.0
-4.635 0.857 1.096
-3.144 1.135 -3.499
-3.420 -3.167 -1.301
Zn Ir Sr
1 1 1
Direct
0.750 0.750 0.750
0.250 0.250 0.250
0.000 0.000 0.000
```

Computed properties:
calculated volume: 26.7 Å³/atom
DFT total energy: -3.10 eV/atom

=====

8.
A relaxed structure of Tb2HoAlCd3Ga2, computed with GGA-PBE.

Structure (POSCAR):
```
Tb2HoAlCd3Ga2
1.0
4.426 0.000 0.000
0.000 6.287 3.638
0.000 -6.287 3.638
Ho Cd Al Ga Tb
1 3 1 2 2
Direct
0.000 0.567 0.567
0.500 0.000 0.754
0.500 0.247 0.247
0.500 0.754 0.000
0.000 0.999 0.999
0.500 0.334 0.666
0.500 0.666 0.334
0.000 0.433 0.000
0.000 0.000 0.433
```

Computed properties:
calculated volume: 22.5 Å³/atom
DFT total energy: -3.42 eV/atom

=====

9.
A relaxed structure of HoErGa2Pd4, computed with GGA-PBE.

Structure (POSCAR):
```
HoErGa2Pd4
1.0
-1.595 -4.336 0.640
3.238 -1.625 -2.939
4.182 -0.794 5.046
Ho Ga Pd Er
1 2 4 1
Direct
0.500 0.500 0.000
0.500 0.500 0.500
0.000 0.000 0.000
0.000 0.500 0.251
0.500 0.000 0.749
0.000 0.500 0.749
0.500 0.000 0.251
0.000 0.000 0.500
```

Computed properties:
calculated volume: 18.0 Å³/atom
DFT total energy: -5.32 eV/atom

=====

10.
A relaxed structure of POsO5, computed with GGA-PBE.

Structure (POSCAR):
```
POsO5
1.0
3.336 -3.982 0.000
3.336 3.982 0.000
-3.036 0.000 6.364
O P Os
10 2 2
Direct
0.874 0.327 0.629
0.734 0.629 0.907
0.126 0.673 0.371
0.934 0.066 0.250
0.673 0.126 0.871
0.327 0.874 0.129
0.371 0.266 0.593
0.266 0.371 0.093
0.629 0.734 0.407
0.066 0.934 0.750
0.667 0.333 0.750
0.333 0.667 0.250
0.000 0.000 0.500
0.000 0.000 0.000
```

Computed properties:
calculated volume: 12.1 Å³/atom
DFT total energy: -7.42 eV/atom

=====

11.
A relaxed structure of TcPtNO, computed with GGA-PBE.

Structure (POSCAR):
```
TcPtNO
1.0
-2.367 -1.041 1.127
3.286 -3.177 3.968
-0.185 4.389 3.667
Tc Pt O N
2 2 2 2
Direct
0.000 0.875 0.980
0.000 0.125 0.480
0.500 0.279 0.049
0.500 0.721 0.549
0.500 0.360 0.417
0.500 0.640 0.917
0.000 0.844 0.308
0.000 0.156 0.808
```

Computed properties:
calculated volume: 12.2 Å³/atom
DFT total energy: -7.52 eV/atom

=====

12.
A relaxed structure of BaScAgSe2S, computed with GGA-PBE.

Structure (POSCAR):
```
BaScAgSe2S
1.0
2.072 -7.007 0.000
2.072 7.007 0.000
0.000 0.000 10.294
Ba Se Sc Ag S
2 4 2 2 2
Direct
0.757 0.243 0.750
0.243 0.757 0.250
0.867 0.133 0.460
0.867 0.133 0.040
0.133 0.867 0.960
0.133 0.867 0.540
0.500 0.500 0.500
0.500 0.500 0.000
0.970 0.030 0.250
0.030 0.970 0.750
0.571 0.429 0.250
0.429 0.571 0.750
```

Computed properties:
calculated volume: 24.9 Å³/atom
DFT total energy: -5.15 eV/atom

=====

Repeat the eleventh record exactly.
A relaxed structure of TcPtNO, computed with GGA-PBE.

Structure (POSCAR):
```
TcPtNO
1.0
-2.367 -1.041 1.127
3.286 -3.177 3.968
-0.185 4.389 3.667
Tc Pt O N
2 2 2 2
Direct
0.000 0.875 0.980
0.000 0.125 0.480
0.500 0.279 0.049
0.500 0.721 0.549
0.500 0.360 0.417
0.500 0.640 0.917
0.000 0.844 0.308
0.000 0.156 0.808
```

Computed properties:
calculated volume: 12.2 Å³/atom
DFT total energy: -7.52 eV/atom

=====

> Among the records above, which one has the lowest calculated volume?

POsO5